[1]
LaHBr: optimized geometry, PBE.

Density of states at the Fermi level in states/eV/f.u.: 1.52
Total DFT energy (no corrections) in eV per formula unit: -13.05

Cell lengths 5.876, 5.876, 6.503 Å; angles 108.93, 108.93, 42.23 degrees
Fractional coordinates of all 6 atoms:
La  0.152  0.152  0.269
La  0.848  0.848  0.731
H  0.349  0.349  0.582
H  0.651  0.651  0.418
Br  0.142  0.142  0.769
Br  0.858  0.858  0.231


[2]
La5Nd8Pb: optimized geometry, PBE.

Energy relative to the elements in eV/atom: -0.052
Density of states at the Fermi level in states/eV/f.u.: 22.24

Cell lengths 6.941, 8.755, 9.525 Å; angles 64.80, 71.35, 76.25 degrees
Fractional coordinates of all 14 atoms:
La  0.000  0.000  0.000
La  0.060  0.374  0.028
La  0.233  0.948  0.330
La  0.646  0.669  0.179
La  0.801  0.241  0.471
Nd  0.120  0.574  0.296
Nd  0.277  0.135  0.597
Nd  0.361  0.510  0.615
Nd  0.414  0.699  0.867
Nd  0.534  0.103  0.887
Nd  0.540  0.290  0.158
Nd  0.713  0.855  0.431
Nd  0.932  0.789  0.747
Pb  0.842  0.431  0.717